{
  "formula": "Ho8Ni2Os",
  "functional": "PBE",
  "state": "optimized geometry",
  "total_energy_ev_per_cell": -61.98,
  "delta_e_f_kj_per_mol_fu": -247,
  "lattice_angstrom": [[-2.127, -0.821, -4.434], [5.508, -3.058, -2.076], [-3.852, -5.547, 5.678]],
  "species": ["Ho", "Ho", "Ho", "Ho", "Ho", "Ho", "Ho", "Ho", "Ni", "Ni", "Os"],
  "frac_coords": [[0.592, 0.443, 0.184], [0.670, 0.975, 0.340], [0.800, 0.678, 0.600], [0.035, 0.795, 0.071], [0.408, 0.557, 0.816], [0.330, 0.025, 0.660], [0.965, 0.205, 0.929], [0.200, 0.322, 0.400], [0.188, 0.710, 0.377], [0.812, 0.290, 0.623], [0.500, 0.000, 0.000]]
}